No. 1
## LaNdRu (GGA-PBE)

Data for an optimized crystal structure of LaNdRu.

abc: 3.521 3.521 13.917
angles: 90.00 90.00 90.00
Atoms (fractional coordinates):
La  0.000  0.000  0.000
La  0.500  0.500  0.500
Nd  0.000  0.000  0.754
Nd  0.500  0.500  0.254
Ru  0.000  0.000  0.376
Ru  0.500  0.500  0.876

Output
The final energy comes out at -6.485 eV per atom. For the polymorph energy (0 for the lowest one), the calculation gives 49 meV per atom. Its density of states at the Fermi level is 4.5 states/eV/cell.


No. 2
## La3NdRu2 (GGA-PBE)

Data for an optimized crystal structure of La3NdRu2.

abc: 8.631 8.631 8.626
angles: 99.93 99.93 33.22
Atoms (fractional coordinates):
La  0.061  0.061  0.189
La  0.187  0.187  0.563
La  0.313  0.313  0.939
La  0.687  0.687  0.061
La  0.813  0.813  0.437
La  0.939  0.939  0.811
Nd  0.438  0.438  0.315
Nd  0.562  0.562  0.685
Ru  0.126  0.126  0.877
Ru  0.374  0.374  0.626
Ru  0.626  0.626  0.374
Ru  0.874  0.874  0.123

Output
The final energy comes out at -6.541 eV per atom. Its density of states at the Fermi level is 8.0 states/eV/cell.


No. 3
## La8NdRu2 (GGA-PBE)

Data for an optimized crystal structure of La8NdRu2.

abc: 7.771 7.771 7.473
angles: 107.18 107.18 67.72
Atoms (fractional coordinates):
La  0.081  0.685  0.698
La  0.171  0.171  0.810
La  0.315  0.919  0.302
La  0.377  0.377  0.306
La  0.623  0.623  0.694
La  0.685  0.081  0.698
La  0.829  0.829  0.190
La  0.919  0.315  0.302
Nd  0.500  0.500  0.000
Ru  0.303  0.303  0.600
Ru  0.697  0.697  0.400

Output
The final energy comes out at -5.764 eV per atom. Its density of states at the Fermi level is 12.5 states/eV/cell.


No. 4
## LaNd3Ru2 (GGA-PBE)

Data for an optimized crystal structure of LaNd3Ru2.

abc: 5.076 8.570 7.402
angles: 90.00 90.00 90.00
Atoms (fractional coordinates):
La  0.000  0.093  0.000
La  0.000  0.907  0.500
Nd  0.000  0.342  0.607
Nd  0.000  0.658  0.107
Nd  0.500  0.155  0.337
Nd  0.500  0.417  0.948
Nd  0.500  0.583  0.448
Nd  0.500  0.845  0.837
Ru  0.000  0.323  0.210
Ru  0.000  0.677  0.710
Ru  0.500  0.173  0.719
Ru  0.500  0.827  0.219

Output
The final energy comes out at -6.519 eV per atom. For the polymorph energy (0 for the lowest one), the calculation gives 0 meV per atom. Its density of states at the Fermi level is 7.4 states/eV/cell.


No. 5
## LaNdRu (GGA-PBE)

Data for an optimized crystal structure of LaNdRu.

abc: 7.010 7.010 7.010
angles: 90.00 90.00 90.00
Atoms (fractional coordinates):
La  0.000  0.000  0.000
La  0.000  0.500  0.500
La  0.500  0.000  0.500
La  0.500  0.500  0.000
Nd  0.000  0.000  0.500
Nd  0.000  0.500  0.000
Nd  0.500  0.000  0.000
Nd  0.500  0.500  0.500
Ru  0.250  0.250  0.250
Ru  0.250  0.750  0.750
Ru  0.750  0.250  0.750
Ru  0.750  0.750  0.250

Output
The final energy comes out at -6.496 eV per atom. For the polymorph energy (0 for the lowest one), the calculation gives 38 meV per atom. Its density of states at the Fermi level is 8.4 states/eV/cell.


No. 6
## La3NdSnRu (GGA-PBE)

Data for an optimized crystal structure of La3NdSnRu.

abc: 9.144 9.144 6.245
angles: 109.86 109.86 48.74
Atoms (fractional coordinates):
La  0.128  0.634  0.882
La  0.184  0.184  0.682
La  0.366  0.872  0.118
La  0.634  0.128  0.882
La  0.816  0.816  0.318
La  0.872  0.366  0.118
Nd  0.297  0.703  0.500
Nd  0.703  0.297  0.500
Sn  0.305  0.305  0.305
Sn  0.695  0.695  0.695
Ru  0.000  0.000  0.240
Ru  0.000  0.000  0.760

Output
The final energy comes out at -5.897 eV per atom. Its density of states at the Fermi level is 10.9 states/eV/cell.


No. 7
## La2NdTlRu (GGA-PBE)

Data for an optimized crystal structure of La2NdTlRu.

abc: 5.363 5.364 5.654
angles: 90.00 90.00 90.00
Atoms (fractional coordinates):
La  0.000  0.000  0.000
La  0.500  0.500  0.071
Nd  0.000  0.500  0.535
Tl  0.500  0.000  0.534
Ru  0.000  0.500  0.035

Output
The final energy comes out at -5.504 eV per atom. Its density of states at the Fermi level is 4.0 states/eV/cell.


No. 8
## LaNdTlRu (GGA-PBE)

Data for an optimized crystal structure of LaNdTlRu.

abc: 7.491 7.491 7.491
angles: 90.00 90.00 90.00
Atoms (fractional coordinates):
La  0.000  0.000  0.000
La  0.000  0.500  0.500
La  0.500  0.000  0.500
La  0.500  0.500  0.000
Nd  0.000  0.000  0.500
Nd  0.000  0.500  0.000
Nd  0.500  0.000  0.000
Nd  0.500  0.500  0.500
Tl  0.250  0.250  0.750
Tl  0.250  0.750  0.250
Tl  0.750  0.250  0.250
Tl  0.750  0.750  0.750
Ru  0.250  0.250  0.250
Ru  0.250  0.750  0.750
Ru  0.750  0.250  0.750
Ru  0.750  0.750  0.250

Output
The final energy comes out at -5.479 eV per atom. Its density of states at the Fermi level is 12.3 states/eV/cell.